The following is a PBE-GGA calculation of crystalline PrAl2Cu5 at its relaxed geometry, from Alexandria.

Output
Size of the total moment: 0.00 μB per formula unit
DOS at the Fermi energy: 6.7 states/eV per cell
Energy: -34.200 eV/f.u.

Lattice parameters (Å, degrees): 3.9420 6.6970 9.9240 90.00 90.00 90.00
Closest atoms and distances in Å follow each position.
Space group Immm (No. 71)
Inequivalent atoms, fractional coordinates:
Pr (0.0000, 0.0000, 0.0000) [2 per cell]  10 Cu 3.17-3.35, 4 Al 3.22
Al (0.0000, 0.5000, 0.2438) [4 per cell]  7 Cu 2.42-2.58
Cu (0.0000, 0.1828, 0.3698) [8 per cell]  4 Cu 2.45-2.66, 3 Al 2.47-2.58
Cu (0.0000, 0.5000, 0.0000) [2 per cell]  2 Al 2.42, 8 Cu 2.66

***

The following is a PBE-GGA calculation of crystalline BaY2Te at its relaxed geometry, from Alexandria.

Output
Size of the total moment: 0.00 μB per formula unit
DOS at the Fermi energy: 7.2 states/eV per cell
Raw formation energy: -0.375 eV per atom

Lattice parameters (Å, degrees): 4.0501 5.5785 12.2364 90.00 90.00 90.00
Closest atoms and distances in Å follow each position.
Space group Imm2 (No. 44)
Inequivalent atoms, fractional coordinates:
Ba (0.0000, 0.0000, 0.0000) [2 per cell]  2 Te 3.55, 6 Y 3.55-3.78
Y (0.0000, 0.0000, 0.5711) [2 per cell]  2 Te 3.09
Y (0.0000, 0.5000, 0.7921) [2 per cell]  4 Te 3.47, 2 Ba 3.78
Te (0.0000, 0.5000, 0.2617) [2 per cell]  2 Y 3.09

***

The following is a PBE-GGA calculation of crystalline Pr2CuPtO5 at its relaxed geometry, from Alexandria.

Output
Size of the total moment: 0.95 μB per formula unit
DOS at the Fermi energy: 15.0 states/eV per cell
Raw formation energy: -1.738 eV per atom

Lattice parameters (Å, degrees): 6.9174 6.9174 5.7393 90.00 90.00 90.00
Closest atoms and distances in Å follow each position.
Space group P4/mbm (No. 127)
Inequivalent atoms, fractional coordinates:
Pr (0.1765, 0.3235, 0.0000) [4 per cell]  8 O 2.32-2.60
Cu (0.0000, 0.0000, 0.5000) [2 per cell]  10 O 2.87-3.06
Pt (0.0000, 0.5000, 0.5000) [2 per cell]  4 O 1.97
O (0.0000, 0.0000, 0.0000) [2 per cell]  4 Pr 2.55
O (0.1356, 0.6356, 0.2472) [8 per cell]  1 Pt 1.97

***

The following is a PBE-GGA calculation of crystalline Mg2Te at its relaxed geometry, from Alexandria.

Output
Size of the total moment: 0.00 μB per formula unit
DOS at the Fermi energy: 1.8 states/eV per cell
Raw formation energy: -0.104 eV per atom

Lattice parameters (Å, degrees): 4.0433 4.0433 5.9673 90.00 90.00 90.00
Closest atoms and distances in Å follow each position.
Space group P4/mmm (No. 123)
Inequivalent atoms, fractional coordinates:
Mg (0.0000, 0.0000, 0.0000) [1 per cell]  2 Te 2.98
Mg (0.5000, 0.5000, 0.5000) [1 per cell]  4 Te 2.86
Te (0.0000, 0.0000, 0.5000) [1 per cell]  6 Mg 2.86-2.98

***

The following is a PBE-GGA calculation of crystalline BeMo2W at its relaxed geometry, from Alexandria.

Output
Size of the total moment: 0.00 μB per formula unit
DOS at the Fermi energy: 4.1 states/eV per cell
Energy: -38.093 eV/f.u.

Lattice parameters (Å, degrees): 3.2639 4.3484 8.0422 90.00 90.00 90.00
Closest atoms and distances in Å follow each position.
Space group Cmmm (No. 65)
Inequivalent atoms, fractional coordinates:
Be (0.0000, 0.0000, 0.0000) [2 per cell]  4 Mo 2.42
Mo (0.0000, 0.5000, 0.2215) [4 per cell]  2 Be 2.42
W (0.0000, 0.0000, 0.5000) [2 per cell]  4 W 2.72, 4 Mo 2.77

***

The following is a PBE-GGA calculation of crystalline Au2SeO at its relaxed geometry, from Alexandria.

Output
Size of the total moment: 0.00 μB per formula unit
DOS at the Fermi energy: 10.9 states/eV per cell
ΔE to the lowest computed polymorph: 0 meV per atom
Raw formation energy: 0.304 eV per atom

Lattice parameters (Å, degrees): 4.9381 4.9381 13.0925 90.00 90.00 90.00
Closest atoms and distances in Å follow each position.
Space group I-42d (No. 122)
Inequivalent atoms, fractional coordinates:
Au (0.1773, 0.2500, 0.1250) [8 per cell]  2 O 2.23
Se (0.0000, 0.0000, 0.5000) [4 per cell]  4 Au 2.60
O (0.0000, 0.0000, 0.0000) [4 per cell]  4 Au 2.23